A plane-wave DFT calculation with PBE was carried out for an optimized crystal structure of Er8Te4P3H.

a b c (Å): 8.0776 8.3701 8.0778
angles (deg): 118.85 120.00 90.00
With the nearest neighbours (Å) after each atom.
Atoms (fractional coordinates):
Te (0.0000, 0.0000, 0.5000)  6 Er 3.09-3.10
Te (0.5000, 0.0000, 0.5000)  6 Er 3.09-3.10
Te (0.0000, 0.0000, 0.0000)  6 Er 3.09-3.10
Te (0.5000, 0.0000, 0.0000)  6 Er 3.07
Er (0.7340, 0.7098, 0.9719)  2 P 2.74, 1 H 2.77, 1 Te 3.07
Er (0.2660, 0.2902, 0.0281)  2 P 2.74, 1 H 2.77, 1 Te 3.07
Er (0.2379, 0.7098, 0.4758)  2 P 2.74, 1 H 2.77, 1 Te 3.07
Er (0.7621, 0.2902, 0.0281)  2 P 2.74, 1 H 2.77, 1 Te 3.07
Er (0.2647, 0.2940, 0.5294)  3 P 2.74
Er (0.7353, 0.7060, 0.4706)  3 P 2.74
Er (0.7621, 0.2902, 0.5242)  2 P 2.74, 1 H 2.77, 1 Te 3.07
Er (0.2379, 0.7098, 0.9719)  2 P 2.74, 1 H 2.77, 1 Te 3.07
P (0.5000, 0.5000, 0.0000)  6 Er 2.74
P (0.5000, 0.5000, 0.5000)  6 Er 2.74
P (0.0000, 0.5000, 0.5000)  6 Er 2.74
H (0.0000, 0.5000, 0.0000)  6 Er 2.77

Computed properties:
The uncorrected energy comes out at -5.570 eV/atom.